A relaxed structure of Ca2PmNdTe4. Source: Alexandria, functional PBE.

Properties
- N(E_F): 0.46 states/eV/atom
- Electronic total energy: -38.17 eV/cell

```
Ca2PmNdTe4
1.0
-3.175 3.175 6.353
3.175 -3.175 6.353
3.175 3.175 -6.353
Ca Pm Nd Te
2 1 1 4
Direct
0.000 0.000 0.000 Ca
0.750 0.250 0.500 Ca
0.250 0.750 0.500 Pm
0.500 0.500 0.000 Nd
0.247 0.247 0.000 Te
0.502 0.002 0.500 Te
0.753 0.753 0.000 Te
0.998 0.498 0.500 Te
```



A relaxed structure of AcLa2Sc. Source: Alexandria, functional PBE.

Properties
- Energy of formation: 183 meV/atom
- N(E_F): 2.66 states/eV/atom
- ΔE to the lowest computed polymorph: 12.2 kJ per mole of atoms
- Electronic total energy: -19.56 eV/cell

```
AcLa2Sc
1.0
0.000 4.165 4.165
4.165 0.000 4.165
4.165 4.165 0.000
Ac La Sc
1 2 1
Direct
0.000 0.000 0.000 Ac
0.250 0.250 0.250 La
0.750 0.750 0.750 La
0.500 0.500 0.500 Sc
```